1.
VASP calculation (PBE) on a geometry-optimized ZnSnPb3 structure.

E, eV/cell: -13.1
Magnetization, μB/cell: 0.00
Energy relative to the elements, eV/atom: 0.6681

The structure in POSCAR format:
```
ZnSnPb3
1.0
5.900 0.000 0.000
0.000 5.900 0.000
0.000 0.000 5.900
Zn Sn Pb
1 1 3
Cartesian
0.000 0.000 0.000 Zn
2.950 2.950 2.950 Sn
0.000 2.950 2.950 Pb
2.950 0.000 2.950 Pb
2.950 2.950 0.000 Pb
```

=====

2.
VASP calculation (PBE) on a geometry-optimized La2Bi2Ir structure.

E, eV/cell: -56.8
Magnetization, μB/cell: 0.00
Energy relative to the elements, eV/atom: -0.3823

The structure in POSCAR format:
```
La2Bi2Ir
1.0
7.715 0.000 0.000
0.000 7.715 0.000
0.000 0.000 5.308
La Bi Ir
4 4 2
Cartesian
1.374 2.484 0.000 La
2.484 6.341 0.000 La
5.231 1.374 0.000 La
6.341 5.231 0.000 La
1.052 4.909 2.654 Bi
2.806 1.052 2.654 Bi
4.909 6.663 2.654 Bi
6.663 2.806 2.654 Bi
0.000 0.000 0.000 Ir
3.857 3.857 0.000 Ir
```

=====

3.
VASP calculation (PBE) on a geometry-optimized Nb2O5 structure.

E, eV/cell: -124.0
Magnetization, μB/cell: 0.00
E_form (uncorrected), eV/atom: -2.4390

The structure in POSCAR format:
```
Nb2O5
1.0
5.718 -2.401 0.000
5.718 2.401 0.000
-0.640 0.000 5.285
Nb O
4 10
Cartesian
3.801 1.274 4.877 Nb
6.675 1.274 3.050 Nb
4.121 -1.274 2.235 Nb
6.995 -1.274 0.408 Nb
5.558 2.157 1.321 O
1.942 0.420 4.386 O
2.262 -0.420 1.744 O
4.318 0.440 3.099 O
6.158 0.440 4.828 O
4.638 -0.440 0.457 O
6.478 -0.440 2.186 O
8.534 0.420 3.541 O
8.854 -0.420 0.899 O
5.238 -2.157 3.964 O
```

=====

4.
VASP calculation (PBE) on a geometry-optimized Mn4CuPd7 structure.

E, eV/cell: -76.5
Magnetization, μB/cell: 18.46
Energy relative to the elements, eV/atom: 0.0499

The structure in POSCAR format:
```
Mn4CuPd7
1.0
6.416 -2.341 0.000
6.416 2.341 0.000
-3.943 0.000 6.414
Mn Cu Pd
4 1 7
Cartesian
-0.009 0.000 1.497 Mn
-1.014 0.000 5.550 Mn
9.903 0.000 0.864 Mn
8.898 0.000 4.917 Mn
4.444 0.000 3.207 Cu
-1.972 0.000 3.207 Pd
2.541 0.000 1.623 Pd
1.284 0.000 4.090 Pd
5.174 0.000 0.582 Pd
3.715 0.000 5.832 Pd
7.604 0.000 2.324 Pd
6.348 0.000 4.791 Pd
```

=====

5.
VASP calculation (PBE) on a geometry-optimized Er3Si3Ir2 structure.

E, eV/cell: -222.4
Magnetization, μB/cell: 0.00
E_form (uncorrected), eV/atom: -0.9915

The structure in POSCAR format:
```
Er3Si3Ir2
1.0
7.954 0.000 0.000
0.000 13.834 0.000
0.000 0.000 5.609
Er Si Ir
12 12 8
Cartesian
0.367 1.584 0.669 Er
0.367 5.333 0.669 Er
1.556 3.459 3.514 Er
2.421 10.376 0.709 Er
3.610 8.501 3.474 Er
3.610 12.251 3.474 Er
4.344 1.584 2.136 Er
4.344 5.333 2.136 Er
5.533 3.459 4.900 Er
6.398 10.376 2.095 Er
7.586 8.501 4.940 Er
7.586 12.251 4.940 Er
1.249 10.376 3.363 Si
1.583 0.556 3.527 Si
1.583 6.361 3.527 Si
2.394 7.473 0.723 Si
2.394 13.278 0.723 Si
2.727 3.459 0.559 Si
5.226 10.376 5.051 Si
5.560 0.556 4.887 Si
5.560 6.361 4.887 Si
6.371 7.473 2.082 Si
6.371 13.278 2.082 Si
6.704 3.459 2.246 Si
0.667 8.197 2.184 Ir
0.667 12.555 2.184 Ir
3.310 1.280 4.989 Ir
3.310 5.638 4.989 Ir
4.644 8.197 0.621 Ir
4.644 12.555 0.621 Ir
7.287 1.280 3.425 Ir
7.287 5.638 3.425 Ir
```

=====

6.
VASP calculation (PBE) on a geometry-optimized TaZn2Co structure.

E, eV/cell: -21.4
Magnetization, μB/cell: 0.00
Energy relative to the elements, eV/atom: 0.0293

The structure in POSCAR format:
```
TaZn2Co
1.0
3.416 0.000 0.000
0.000 3.867 0.000
0.000 0.000 4.304
Ta Zn Co
1 2 1
Cartesian
0.000 0.000 0.000 Ta
0.000 1.933 2.152 Zn
1.708 0.000 2.152 Zn
1.708 1.933 0.000 Co
```